Compound: PaNbV2O6
Source: the Alexandria database
Functional: PBE with a Hubbard U
Structure: optimized geometry

space group = No. 146
raw total energy = -8.82 eV per atom
M_tot = 4.0 μB per cell

a = 5.4411 Å, b = 5.4431 Å, c = 5.8965 Å
α = 62.55°, β = 62.55°, γ = 60.01°
Closest atoms and distances in Å follow each position.
Fractional coordinates of all 10 atoms:
Pa 0.3157 0.3158 0.0527  6 O 2.19-2.28
Nb 0.8200 0.8199 0.5401  6 O 2.12-2.17
V 0.5131 0.5132 0.4606  6 O 2.14-2.22
V 0.0130 0.0130 0.9610  6 O 2.18
O 0.6216 0.2195 0.2528  2 V 2.14-2.18, 1 Nb 2.17, 1 Pa 2.19
O 0.2196 0.9061 0.2529  2 V 2.14-2.18, 1 Nb 2.17, 1 Pa 2.19
O 0.9060 0.6217 0.2527  2 V 2.14-2.18, 1 Nb 2.17, 1 Pa 2.19
O 0.4236 0.7250 0.7477  1 Nb 2.12, 2 V 2.18-2.22, 1 Pa 2.28
O 0.7251 0.1039 0.7474  1 Nb 2.12, 2 V 2.18-2.22, 1 Pa 2.28
O 0.1038 0.4234 0.7474  1 Nb 2.12, 2 V 2.18-2.22, 1 Pa 2.28